Entry 1:
FeB4W | PBE | relaxed

The calculation puts the volume at 47.8 Å³ per cell. The calculation puts the polymorph energy (0 for the lowest one) at 0 meV/atom. For the mass density, the calculation gives 9.82 Mg/m³.

It has space group P6/mmm (No. 191), with a = 3.0548 Å, b = 3.0548 Å, c = 5.9207 Å, α = 90.00°, β = 90.00° and γ = 120.00°. The inequivalent atoms are Fe at (0.0000, 0.0000, 0.0000), B at (0.3333, 0.6667, 0.2263) and W at (0.0000, 0.0000, 0.5000).

=====

Entry 2:
YSn2Pt | PBE | relaxed

The calculation puts the volume at 365.5 Å³ per cell. The calculation puts the electronic total energy at -5.587 eV per atom. For the mass density, the calculation gives 9.47 Mg/m³.

It has space group F-43m (No. 216), with a = 7.1501 Å, b = 7.1501 Å, c = 7.1501 Å, α = 90.00°, β = 90.00° and γ = 90.00°. The inequivalent atoms are Y at (0.0000, 0.0000, 0.0000), Sn at (0.0000, 0.0000, 0.5000), Sn at (0.2500, 0.2500, 0.2500) and Pt at (0.2500, 0.2500, 0.7500).

=====

Entry 3:
DyTm3Pd4 | PBE | relaxed

The calculation puts the volume at 171.1 Å³ per cell. The value obtained for the energy of formation is -0.953 eV per atom. For the mass density, the calculation gives 10.62 Mg/m³.

It has space group Pm (No. 6), with a = 5.6205 Å, b = 4.4769 Å, c = 6.8018 Å, α = 90.00°, β = 90.32° and γ = 90.00°. The inequivalent atoms are Dy at (0.0000, 0.0000, 0.0000), Tm at (0.2152, 0.0000, 0.4992), Tm at (0.4989, 0.5000, 0.1357), Tm at (0.7134, 0.5000, 0.6350), Pd at (0.0139, 0.5000, 0.2827), Pd at (0.2022, 0.5000, 0.7711), Pd at (0.5132, 0.0000, 0.8573) and Pd at (0.6981, 0.0000, 0.3600).

=====

Entry 4:
Ga2SiMo | PBE | relaxed

The calculation puts the volume at 249.1 Å³ per cell. The calculation puts the electronic total energy at -5.177 eV per atom. For the mass density, the calculation gives 7.03 Mg/m³.

It has space group F-43m (No. 216), with a = 6.2919 Å, b = 6.2919 Å, c = 6.2919 Å, α = 90.00°, β = 90.00° and γ = 90.00°. The inequivalent atoms are Ga at (0.0000, 0.0000, 0.0000), Ga at (0.2500, 0.2500, 0.2500), Si at (0.2500, 0.2500, 0.7500) and Mo at (0.0000, 0.0000, 0.5000).

=====

Entry 5:
NdSn2PdAu | PBE | relaxed

The calculation puts the volume at 234.4 Å³ per cell. The calculation puts the electronic total energy at -4.924 eV per atom. For the mass density, the calculation gives 9.71 Mg/m³.

It has space group P2_1/m (No. 11), with a = 4.6563 Å, b = 4.6439 Å, c = 10.8399 Å, α = 90.00°, β = 90.61° and γ = 90.00°. The inequivalent atoms are Nd at (0.2422, 0.2500, 0.2460), Sn at (0.2514, 0.7500, 0.4997), Sn at (0.2716, 0.2500, 0.8606), Pd at (0.2508, 0.2500, 0.6226) and Au at (0.2266, 0.7500, 0.9998).

=====

Entry 6:
SrSmPd2 | PBE | relaxed

The calculation puts the volume at 200.3 Å³ per cell. The calculation puts the electronic total energy at -4.879 eV per atom. For the mass density, the calculation gives 7.47 Mg/m³.

It has space group Amm2 (No. 38), with a = 4.6039 Å, b = 3.9291 Å, c = 11.0750 Å, α = 90.00°, β = 90.00° and γ = 90.00°. The inequivalent atoms are Sr at (0.0000, 0.0000, 0.0000), Sm at (0.5000, 0.0000, 0.2741), Pd at (0.0000, 0.0000, 0.7268) and Pd at (0.5000, 0.0000, 0.5656).

=====

Entry 7:
Er3Tm3Te2Pt | PBE | relaxed

The calculation puts the volume at 234.6 Å³ per cell. The calculation puts the polymorph energy (0 for the lowest one) at 0 meV/atom. For the mass density, the calculation gives 10.33 Mg/m³.

It has space group P-62m (No. 189), with a = 8.3239 Å, b = 8.3239 Å, c = 3.9098 Å, α = 90.00°, β = 90.00° and γ = 120.00°. The inequivalent atoms are Er at (0.0000, 0.6012, 0.0000), Tm at (0.0000, 0.2453, 0.5000), Te at (0.3333, 0.6667, 0.5000) and Pt at (0.0000, 0.0000, 0.0000).

=====

Entry 8:
Zn3Au | PBE | relaxed

The calculation puts the volume at 121.3 Å³ per cell. The value obtained for the energy of formation is -0.151 eV per atom. For the mass density, the calculation gives 10.77 Mg/m³.

It has space group P6_3/mmc (No. 194), with a = 5.5996 Å, b = 5.5996 Å, c = 4.4666 Å, α = 90.00°, β = 90.00° and γ = 120.00°. The inequivalent atoms are Zn at (0.1650, 0.3300, 0.2500) and Au at (0.3333, 0.6667, 0.7500).

=====

Entry 9:
DySn | PBE | relaxed

The calculation puts the volume at 55.2 Å³ per cell. The calculation puts the electronic total energy at -4.775 eV per atom. For the mass density, the calculation gives 8.46 Mg/m³.

It has space group P-6m2 (No. 187), with a = 3.5702 Å, b = 3.5702 Å, c = 5.0023 Å, α = 90.00°, β = 90.00° and γ = 120.00°. The inequivalent atoms are Dy at (0.0000, 0.0000, 0.0000) and Sn at (0.6667, 0.3333, 0.5000).

=====

Entry 10:
Ga2Os2O5 | PBE | relaxed

The calculation puts the volume at 98.7 Å³ per cell. The calculation puts the polymorph energy (0 for the lowest one) at 65 meV/atom. For the mass density, the calculation gives 10.09 Mg/m³.

It has space group P4/mmm (No. 123), with a = 3.4354 Å, b = 3.4354 Å, c = 8.3664 Å, α = 90.00°, β = 90.00° and γ = 90.00°. The inequivalent atoms are Ga at (0.0000, 0.0000, 0.2394), Os at (0.5000, 0.5000, 0.0000), Os at (0.5000, 0.5000, 0.5000), O at (0.0000, 0.0000, 0.0000) and O at (0.0000, 0.5000, 0.3561).

=====

Entry 11:
LaErGa2Br2 | PBE | relaxed

The calculation puts the volume at 176.1 Å³ per cell. The calculation puts the electronic total energy at -4.394 eV per atom. For the mass density, the calculation gives 5.71 Mg/m³.

It has space group P3m1 (No. 156), with a = 4.2146 Å, b = 4.2146 Å, c = 11.4503 Å, α = 90.00°, β = 90.00° and γ = 120.00°. The inequivalent atoms are La at (0.0000, 0.0000, 0.0000), Er at (0.0000, 0.0000, 0.3648), Ga at (0.3333, 0.6667, 0.2195), Ga at (0.6667, 0.3333, 0.1601), Br at (0.3333, 0.6667, 0.8341) and Br at (0.6667, 0.3333, 0.5137).

=====

Entry 12:
Li2AgSb | PBE | relaxed

The calculation puts the volume at 285.6 Å³ per cell. The calculation puts the electronic total energy at -3.150 eV per atom. For the mass density, the calculation gives 5.66 Mg/m³.

It has space group F-43m (No. 216), with a = 6.5855 Å, b = 6.5855 Å, c = 6.5855 Å, α = 90.00°, β = 90.00° and γ = 90.00°. The inequivalent atoms are Li at (0.0000, 0.0000, 0.0000), Li at (0.2500, 0.2500, 0.2500), Ag at (0.2500, 0.2500, 0.7500) and Sb at (0.0000, 0.0000, 0.5000).